w:
NbCo2Ag: relaxed, PBE-GGA.

Structure (CIF):
```
data_NbCo2Ag
_chemical_formula_sum 'Nb4 Co8 Ag4'
_space_group_name_H-M_alt 'P 1'
_space_group_IT_number 1
_cell_length_a 6.056
_cell_length_b 6.056
_cell_length_c 6.056
_cell_angle_alpha 90.00
_cell_angle_beta 90.00
_cell_angle_gamma 90.00
loop_
_space_group_symop_operation_xyz
'x,y,z'
loop_
_atom_site_label
_atom_site_type_symbol
_atom_site_fract_x
_atom_site_fract_y
_atom_site_fract_z
Nb1 Nb 0.000 0.000 0.000
Nb2 Nb 0.000 0.500 0.500
Nb3 Nb 0.500 0.000 0.500
Nb4 Nb 0.500 0.500 0.000
Co1 Co 0.250 0.250 0.250
Co2 Co 0.250 0.250 0.750
Co3 Co 0.250 0.750 0.250
Co4 Co 0.250 0.750 0.750
Co5 Co 0.750 0.250 0.250
Co6 Co 0.750 0.250 0.750
Co7 Co 0.750 0.750 0.250
Co8 Co 0.750 0.750 0.750
Ag1 Ag 0.000 0.000 0.500
Ag2 Ag 0.000 0.500 0.000
Ag3 Ag 0.500 0.000 0.000
Ag4 Ag 0.500 0.500 0.500
```

Computed properties:
Fermi-level density of states = 1.834 states/eV/f.u.

***

x:
NbCo2Ag: relaxed, PBE-GGA.

Structure (CIF):
```
data_NbCo2Ag
_chemical_formula_sum 'Nb4 Co8 Ag4'
_space_group_name_H-M_alt 'P 1'
_space_group_IT_number 1
_cell_length_a 6.662
_cell_length_b 6.662
_cell_length_c 5.521
_cell_angle_alpha 90.00
_cell_angle_beta 90.00
_cell_angle_gamma 90.00
loop_
_space_group_symop_operation_xyz
'x,y,z'
loop_
_atom_site_label
_atom_site_type_symbol
_atom_site_fract_x
_atom_site_fract_y
_atom_site_fract_z
Nb1 Nb 0.000 0.000 0.000
Nb2 Nb 0.000 0.500 0.250
Nb3 Nb 0.500 0.000 0.750
Nb4 Nb 0.500 0.500 0.500
Co1 Co 0.226 0.250 0.125
Co2 Co 0.250 0.726 0.375
Co3 Co 0.250 0.774 0.875
Co4 Co 0.274 0.250 0.625
Co5 Co 0.726 0.750 0.625
Co6 Co 0.750 0.226 0.875
Co7 Co 0.750 0.274 0.375
Co8 Co 0.774 0.750 0.125
Ag1 Ag 0.000 0.000 0.500
Ag2 Ag 0.000 0.500 0.750
Ag3 Ag 0.500 0.000 0.250
Ag4 Ag 0.500 0.500 0.000
```

Computed properties:
Fermi-level density of states = 0.879 states/eV/f.u.

***

How do the energies compare? Relative to the most stable structure, in meV/atom: w 0; x 386.

***

w:
Nd3CoAg: relaxed, PBE-GGA.

Structure (CIF):
```
data_Nd3CoAg
_chemical_formula_sum 'Nd6 Co2 Ag2'
_space_group_name_H-M_alt 'P 1'
_space_group_IT_number 1
_cell_length_a 6.206
_cell_length_b 6.206
_cell_length_c 8.711
_cell_angle_alpha 111.98
_cell_angle_beta 111.98
_cell_angle_gamma 62.52
loop_
_space_group_symop_operation_xyz
'x,y,z'
loop_
_atom_site_label
_atom_site_type_symbol
_atom_site_fract_x
_atom_site_fract_y
_atom_site_fract_z
Nd1 Nd 0.022 0.022 0.215
Nd2 Nd 0.296 0.296 0.675
Nd3 Nd 0.315 0.315 0.132
Nd4 Nd 0.685 0.685 0.868
Nd5 Nd 0.704 0.704 0.325
Nd6 Nd 0.978 0.978 0.785
Co1 Co 0.319 0.681 0.000
Co2 Co 0.681 0.319 0.000
Ag1 Ag 0.280 0.720 0.500
Ag2 Ag 0.720 0.280 0.500
```

Computed properties:
Fermi-level density of states = 5.202 states/eV/f.u.

***

x:
Nd3CoAg: relaxed, PBE-GGA.

Structure (CIF):
```
data_Nd3CoAg
_chemical_formula_sum 'Nd3 Co1 Ag1'
_space_group_name_H-M_alt 'P 1'
_space_group_IT_number 1
_cell_length_a 5.295
_cell_length_b 5.295
_cell_length_c 5.295
_cell_angle_alpha 90.00
_cell_angle_beta 90.00
_cell_angle_gamma 90.00
loop_
_space_group_symop_operation_xyz
'x,y,z'
loop_
_atom_site_label
_atom_site_type_symbol
_atom_site_fract_x
_atom_site_fract_y
_atom_site_fract_z
Nd1 Nd 0.000 0.000 0.500
Nd2 Nd 0.000 0.500 0.000
Nd3 Nd 0.500 0.000 0.000
Co1 Co 0.000 0.000 0.000
Ag1 Ag 0.500 0.500 0.500
```

Computed properties:
Fermi-level density of states = 5.394 states/eV/f.u.

***

How do the energies compare? Relative to the most stable structure, in meV/atom: w 0; x 165.

***

w:
Nd4Co2Ag: relaxed, PBE-GGA.

Structure (CIF):
```
data_Nd4Co2Ag
_chemical_formula_sum 'Nd4 Co2 Ag1'
_space_group_name_H-M_alt 'P 1'
_space_group_IT_number 1
_cell_length_a 10.185
_cell_length_b 10.185
_cell_length_c 10.185
_cell_angle_alpha 26.18
_cell_angle_beta 26.18
_cell_angle_gamma 26.18
loop_
_space_group_symop_operation_xyz
'x,y,z'
loop_
_atom_site_label
_atom_site_type_symbol
_atom_site_fract_x
_atom_site_fract_y
_atom_site_fract_z
Nd1 Nd 0.114 0.114 0.114
Nd2 Nd 0.297 0.297 0.297
Nd3 Nd 0.703 0.703 0.703
Nd4 Nd 0.886 0.886 0.886
Co1 Co 0.405 0.405 0.405
Co2 Co 0.595 0.595 0.595
Ag1 Ag 0.500 0.500 0.500
```

Computed properties:
Fermi-level density of states = 4.919 states/eV/f.u.

***

x:
Nd4Co2Ag: relaxed, PBE-GGA.

Structure (CIF):
```
data_Nd4Co2Ag
_chemical_formula_sum 'Nd8 Co4 Ag2'
_space_group_name_H-M_alt 'P 1'
_space_group_IT_number 1
_cell_length_a 5.685
_cell_length_b 5.685
_cell_length_c 18.962
_cell_angle_alpha 90.00
_cell_angle_beta 90.00
_cell_angle_gamma 139.09
loop_
_space_group_symop_operation_xyz
'x,y,z'
loop_
_atom_site_label
_atom_site_type_symbol
_atom_site_fract_x
_atom_site_fract_y
_atom_site_fract_z
Nd1 Nd 0.000 0.000 0.000
Nd2 Nd 0.000 0.000 0.500
Nd3 Nd 0.285 0.715 0.628
Nd4 Nd 0.285 0.715 0.872
Nd5 Nd 0.422 0.578 0.250
Nd6 Nd 0.578 0.422 0.750
Nd7 Nd 0.715 0.285 0.128
Nd8 Nd 0.715 0.285 0.372
Co1 Co 0.284 0.716 0.019
Co2 Co 0.284 0.716 0.481
Co3 Co 0.716 0.284 0.519
Co4 Co 0.716 0.284 0.981
Ag1 Ag 0.134 0.866 0.250
Ag2 Ag 0.866 0.134 0.750
```

Computed properties:
Fermi-level density of states = 8.125 states/eV/f.u.

***

How do the energies compare? Relative to the most stable structure, in meV/atom: w 0; x 65.

***

w:
Co2NiAg: relaxed, PBE-GGA.

Structure (CIF):
```
data_Co2NiAg
_chemical_formula_sum 'Co2 Ni1 Ag1'
_space_group_name_H-M_alt 'P 1'
_space_group_IT_number 1
_cell_length_a 2.654
_cell_length_b 2.654
_cell_length_c 7.224
_cell_angle_alpha 90.00
_cell_angle_beta 90.00
_cell_angle_gamma 90.00
loop_
_space_group_symop_operation_xyz
'x,y,z'
loop_
_atom_site_label
_atom_site_type_symbol
_atom_site_fract_x
_atom_site_fract_y
_atom_site_fract_z
Co1 Co 0.000 0.000 0.000
Co2 Co 0.500 0.500 0.212
Ni1 Ni 0.000 0.000 0.435
Ag1 Ag 0.500 0.500 0.714
```

Computed properties:
Fermi-level density of states = 4.652 states/eV/f.u.

***

x:
Co2NiAg: relaxed, PBE-GGA.

Structure (CIF):
```
data_Co2NiAg
_chemical_formula_sum 'Co4 Ni2 Ag2'
_space_group_name_H-M_alt 'P 1'
_space_group_IT_number 1
_cell_length_a 2.694
_cell_length_b 4.420
_cell_length_c 8.666
_cell_angle_alpha 90.00
_cell_angle_beta 90.00
_cell_angle_gamma 90.00
loop_
_space_group_symop_operation_xyz
'x,y,z'
loop_
_atom_site_label
_atom_site_type_symbol
_atom_site_fract_x
_atom_site_fract_y
_atom_site_fract_z
Co1 Co 0.000 0.000 0.000
Co2 Co 0.000 0.500 0.276
Co3 Co 0.500 0.000 0.776
Co4 Co 0.500 0.500 0.500
Ni1 Ni 0.000 0.500 0.734
Ni2 Ni 0.500 0.000 0.234
Ag1 Ag 0.000 0.000 0.505
Ag2 Ag 0.500 0.500 0.005
```

Computed properties:
Fermi-level density of states = 5.282 states/eV/f.u.

***

How do the energies compare? Relative to the most stable structure, in meV/atom: w 0; x 143.

***

w:
Co2NiAg: relaxed, PBE-GGA.

Structure (CIF):
```
data_Co2NiAg
_chemical_formula_sum 'Co2 Ni1 Ag1'
_space_group_name_H-M_alt 'P 1'
_space_group_IT_number 1
_cell_length_a 2.607
_cell_length_b 2.607
_cell_length_c 7.537
_cell_angle_alpha 90.00
_cell_angle_beta 90.00
_cell_angle_gamma 90.00
loop_
_space_group_symop_operation_xyz
'x,y,z'
loop_
_atom_site_label
_atom_site_type_symbol
_atom_site_fract_x
_atom_site_fract_y
_atom_site_fract_z
Co1 Co 0.000 0.000 0.222
Co2 Co 0.000 0.000 0.778
Ni1 Ni 0.500 0.500 0.000
Ag1 Ag 0.500 0.500 0.500
```

Computed properties:
Fermi-level density of states = 6.561 states/eV/f.u.

***

x:
Co2NiAg: relaxed, PBE-GGA.

Structure (CIF):
```
data_Co2NiAg
_chemical_formula_sum 'Co2 Ni1 Ag1'
_space_group_name_H-M_alt 'P 1'
_space_group_IT_number 1
_cell_length_a 3.652
_cell_length_b 3.652
_cell_length_c 3.808
_cell_angle_alpha 90.00
_cell_angle_beta 90.00
_cell_angle_gamma 90.00
loop_
_space_group_symop_operation_xyz
'x,y,z'
loop_
_atom_site_label
_atom_site_type_symbol
_atom_site_fract_x
_atom_site_fract_y
_atom_site_fract_z
Co1 Co 0.000 0.500 0.000
Co2 Co 0.500 0.000 0.000
Ni1 Ni 0.000 0.000 0.500
Ag1 Ag 0.500 0.500 0.500
```

Computed properties:
Fermi-level density of states = 6.070 states/eV/f.u.

***

How do the energies compare? Relative to the most stable structure, in meV/atom: w 0; x 61.

***

w:
CoNiAg2: relaxed, PBE-GGA.

Structure (CIF):
```
data_CoNiAg2
_chemical_formula_sum 'Co2 Ni2 Ag4'
_space_group_name_H-M_alt 'P 1'
_space_group_IT_number 1
_cell_length_a 3.859
_cell_length_b 3.859
_cell_length_c 7.774
_cell_angle_alpha 90.00
_cell_angle_beta 90.00
_cell_angle_gamma 90.00
loop_
_space_group_symop_operation_xyz
'x,y,z'
loop_
_atom_site_label
_atom_site_type_symbol
_atom_site_fract_x
_atom_site_fract_y
_atom_site_fract_z
Co1 Co 0.000 0.000 0.000
Co2 Co 0.500 0.500 0.500
Ni1 Ni 0.000 0.500 0.750
Ni2 Ni 0.500 0.000 0.250
Ag1 Ag 0.000 0.000 0.500
Ag2 Ag 0.000 0.500 0.250
Ag3 Ag 0.500 0.000 0.750
Ag4 Ag 0.500 0.500 0.000
```

Computed properties:
Fermi-level density of states = 6.351 states/eV/f.u.

***

x:
CoNiAg2: relaxed, PBE-GGA.

Structure (CIF):
```
data_CoNiAg2
_chemical_formula_sum 'Co3 Ni3 Ag6'
_space_group_name_H-M_alt 'P 1'
_space_group_IT_number 1
_cell_length_a 2.727
_cell_length_b 2.727
_cell_length_c 27.035
_cell_angle_alpha 90.00
_cell_angle_beta 90.00
_cell_angle_gamma 120.00
loop_
_space_group_symop_operation_xyz
'x,y,z'
loop_
_atom_site_label
_atom_site_type_symbol
_atom_site_fract_x
_atom_site_fract_y
_atom_site_fract_z
Co1 Co 0.000 0.000 0.000
Co2 Co 0.333 0.667 0.667
Co3 Co 0.667 0.333 0.333
Ni1 Ni 0.000 0.000 0.500
Ni2 Ni 0.333 0.667 0.167
Ni3 Ni 0.667 0.333 0.833
Ag1 Ag 0.000 0.000 0.249
Ag2 Ag 0.000 0.000 0.751
Ag3 Ag 0.333 0.667 0.418
Ag4 Ag 0.333 0.667 0.916
Ag5 Ag 0.667 0.333 0.084
Ag6 Ag 0.667 0.333 0.582
```

Computed properties:
Fermi-level density of states = 4.012 states/eV/f.u.

***

y:
CoNiAg2: relaxed, PBE-GGA.

Structure (CIF):
```
data_CoNiAg2
_chemical_formula_sum 'Co2 Ni2 Ag4'
_space_group_name_H-M_alt 'P 1'
_space_group_IT_number 1
_cell_length_a 5.355
_cell_length_b 9.131
_cell_length_c 2.692
_cell_angle_alpha 90.00
_cell_angle_beta 116.22
_cell_angle_gamma 90.00
loop_
_space_group_symop_operation_xyz
'x,y,z'
loop_
_atom_site_label
_atom_site_type_symbol
_atom_site_fract_x
_atom_site_fract_y
_atom_site_fract_z
Co1 Co 0.000 0.000 0.000
Co2 Co 0.500 0.500 0.000
Ni1 Ni 0.000 0.500 0.000
Ni2 Ni 0.500 0.000 0.000
Ag1 Ag 0.250 0.250 0.500
Ag2 Ag 0.250 0.750 0.500
Ag3 Ag 0.750 0.250 0.500
Ag4 Ag 0.750 0.750 0.500
```

Computed properties:
Fermi-level density of states = 5.009 states/eV/f.u.

***

How do the energies compare? Relative to the most stable structure, in meV/atom: w 30; x 0; y 64.